# 1
Computed, not measured: KSc2Te after structural relaxation at the PBE level of DFT.

Density of states at the Fermi level, states/eV per cell: 9.795

Cell: 3.935 5.087 11.448 Å, 90.00 90.00 90.00°
Sites, in units of the cell vectors:
1 K 0.000 0.000 0.000
2 K 0.500 0.500 0.500
3 Sc 0.000 0.000 0.566
4 Sc 0.000 0.500 0.788
5 Sc 0.500 0.000 0.288
6 Sc 0.500 0.500 0.066
7 Te 0.000 0.500 0.254
8 Te 0.500 0.000 0.754

# 2
Computed, not measured: RbCeInSe3 after structural relaxation at the PBE level of DFT.

Density of states at the Fermi level, states/eV per cell: 8.594

Cell: 8.950 4.193 11.594 Å, 90.00 106.68 90.00°
Sites, in units of the cell vectors:
1 Rb 0.241 0.250 0.281
2 Rb 0.759 0.750 0.719
3 Ce 0.347 0.750 0.848
4 Ce 0.653 0.250 0.152
5 In 0.124 0.250 0.571
6 In 0.876 0.750 0.429
7 Se 0.105 0.250 0.801
8 Se 0.339 0.750 0.593
9 Se 0.415 0.750 0.110
10 Se 0.585 0.250 0.890
11 Se 0.661 0.250 0.407
12 Se 0.895 0.750 0.199

no.,magnetization (Bohr magnetons per cell),uncorrected formation energy (eV per atom)
1,0.81,-0.0274
2,1.24,-1.2712